Entry 1:
A plane-wave DFT calculation with GGA-PBEsol was carried out for crystalline TmAgS2 at its relaxed geometry.

Unit cell a=7.4377 b=7.4523 c=12.1815 alpha=90.00 beta=89.99 gamma=90.00
Fractional positions:
1 Tm 0.5008 0.7233 0.2543
2 Tm 0.4992 0.2233 0.7457
3 Tm 0.2480 0.9675 0.5043
4 Tm 0.7520 0.4675 0.4957
5 Tm 0.9993 0.7199 0.7543
6 Tm 0.0007 0.2199 0.2457
7 Tm 0.2521 0.4754 0.0042
8 Tm 0.7479 0.9754 0.9958
9 Ag 0.0076 0.7012 0.3210
10 Ag 0.9924 0.2012 0.6790
11 Ag 0.2811 0.4983 0.5694
12 Ag 0.7189 0.9983 0.4306
13 Ag 0.5035 0.2361 0.1787
14 Ag 0.4965 0.7361 0.8213
15 Ag 0.2174 0.9422 0.0693
16 Ag 0.7826 0.4422 0.9307
17 S 0.2675 0.4538 0.2255
18 S 0.7325 0.9538 0.7745
19 S 0.4794 0.7454 0.0340
20 S 0.5206 0.2454 0.9660
21 S 0.0209 0.6970 0.5339
22 S 0.9791 0.1970 0.4661
23 S 0.2234 0.9453 0.2830
24 S 0.7766 0.4453 0.7170
25 S 0.5218 0.7407 0.4759
26 S 0.4782 0.2407 0.5241
27 S 0.2331 0.9884 0.7254
28 S 0.7669 0.4884 0.2746
29 S 0.0221 0.2018 0.0241
30 S 0.9779 0.7018 0.9759
31 S 0.7240 0.9970 0.2169
32 S 0.2760 0.4970 0.7831

Results
The calculation puts the spin magnetization at 0.0 μB/f.u. Its total energy is -5.584 eV/atom. For the density of states at the Fermi level, the calculation gives 0.00 states/eV per atom.

Entry 2:
A plane-wave DFT calculation with GGA-PBEsol was carried out for crystalline NbRu3Br at its relaxed geometry.

Unit cell a=4.7384 b=4.7384 c=4.7384 alpha=90.00 beta=90.00 gamma=90.00
Fractional positions:
1 Ru 0.0000 0.5000 0.0000
2 Ru 0.0000 0.0000 0.5000
3 Ru 0.5000 0.0000 0.0000
4 Nb 0.0000 0.0000 0.0000
5 Br 0.5000 0.5000 0.5000

Results
The calculation puts the spin magnetization at 4.0 μB/f.u. Its total energy is -6.713 eV/atom. For the density of states at the Fermi level, the calculation gives 1.06 states/eV per atom.

Question: spin magnetization of number 1 (TmAgS2)?
Answer: 0.0 μB/f.u.